Zn2AgBi2 (GGA-PBE, optimized geometry); spin magnetization = 0.0 μB/f.u.; formation energy from the elements = 154 meV/atom
1.0
7.173 0.000 0.000
0.000 7.173 0.000
0.000 0.000 4.455
Zn Ag Bi
4 2 4
direct
0.128 0.372 0.000
0.372 0.872 0.000
0.628 0.128 0.000
0.872 0.628 0.000
0.000 0.000 0.000
0.500 0.500 0.000
0.181 0.681 0.500
0.319 0.181 0.500
0.681 0.819 0.500
0.819 0.319 0.500

---

ZnAg2Bi2 (GGA-PBE, optimized geometry); spin magnetization = 0.0 μB/f.u.; formation energy from the elements = 233 meV/atom
1.0
8.620 0.000 0.000
0.000 8.620 0.000
0.000 0.000 3.408
Zn Ag Bi
2 4 4
direct
0.000 0.000 0.000
0.500 0.500 0.000
0.117 0.383 0.500
0.383 0.883 0.500
0.617 0.117 0.500
0.883 0.617 0.500
0.182 0.682 0.000
0.318 0.182 0.000
0.682 0.818 0.000
0.818 0.318 0.000

---

ZnAg3Bi (GGA-PBE, optimized geometry); spin magnetization = 0.0 μB/f.u.; formation energy from the elements = 368 meV/atom
1.0
4.873 0.000 0.000
0.000 4.873 0.000
0.000 0.000 4.873
Zn Ag Bi
1 3 1
direct
0.000 0.000 0.000
0.000 0.000 0.500
0.000 0.500 0.000
0.500 0.000 0.000
0.500 0.500 0.500

---

Zn2AgBi2 (GGA-PBE, optimized geometry); spin magnetization = 0.0 μB/f.u.; formation energy from the elements = 219 meV/atom
1.0
8.342 0.000 0.000
0.000 8.342 0.000
0.000 0.000 3.582
Zn Ag Bi
4 2 4
direct
0.107 0.393 0.000
0.393 0.893 0.000
0.607 0.107 0.000
0.893 0.607 0.000
0.000 0.000 0.500
0.500 0.500 0.500
0.199 0.699 0.500
0.301 0.199 0.500
0.699 0.801 0.500
0.801 0.301 0.500

---

ZnAg2Bi (GGA-PBE, optimized geometry); spin magnetization = 0.0 μB/f.u.; formation energy from the elements = 185 meV/atom
1.0
0.000 3.485 3.485
3.485 0.000 3.485
3.485 3.485 0.000
Zn Ag Bi
1 2 1
direct
0.000 0.000 0.000
0.250 0.250 0.250
0.750 0.750 0.750
0.500 0.500 0.500

---

ZnAg2Bi (GGA-PBE, optimized geometry); spin magnetization = 0.0 μB/f.u.; formation energy from the elements = 183 meV/atom
1.0
-2.154 2.154 9.613
2.154 -2.154 9.613
2.154 2.154 -9.613
Zn Ag Bi
2 4 2
direct
0.000 0.000 0.000
0.750 0.250 0.500
0.096 0.625 0.971
0.375 0.346 0.471
0.654 0.125 0.029
0.875 0.904 0.529
0.250 0.750 0.500
0.500 0.500 0.000